*i*
BaBe3Cl: relaxed, PBE.

abc: 4.9591 4.9591 4.9591
angles: 90.00 90.00 90.00
Closest atoms and distances in Å follow each position.
Space group Pm-3m (No. 221)
Unique sites:
1 Ba 0.0000 0.0000 0.0000 x1  12 Be 3.51
2 Be 0.0000 0.5000 0.5000 x3  2 Cl 2.48
3 Cl 0.5000 0.5000 0.5000 x1  6 Be 2.48

***

*ii*
BaBe3Cl: relaxed, PBE.

abc: 6.3801 6.3801 6.3801
angles: 90.00 90.00 90.00
Closest atoms and distances in Å follow each position.
Space group Pm-3m (No. 221)
Unique sites:
1 Ba 0.0000 0.0000 0.0000 x1  6 Be 3.19
2 Be 0.0000 0.0000 0.5000 x3  2 Ba 3.19
3 Cl 0.5000 0.5000 0.5000 x1  12 Be 4.51

***

Least stable structure: *ii*

***

*i*
Ba2BeCl2: relaxed, PBE.

abc: 6.1304 6.1304 9.2860
angles: 90.00 90.00 90.00
Closest atoms and distances in Å follow each position.
Space group I4/mmm (No. 139)
Unique sites:
1 Ba 0.0000 0.5000 0.2500 x4  4 Cl 3.13
2 Be 0.0000 0.0000 0.0000 x2  2 Cl 2.96
3 Cl 0.0000 0.0000 0.3185 x4  1 Be 2.96, 4 Ba 3.13

***

*ii*
Ba2BeCl2: relaxed, PBE.

abc: 8.8495 8.8495 3.9237
angles: 90.00 90.00 90.00
Closest atoms and distances in Å follow each position.
Space group P4/mbm (No. 127)
Unique sites:
1 Ba 0.1798 0.3202 0.0000 x4  6 Cl 3.14-3.37
2 Be 0.0000 0.0000 0.5000 x2  4 Cl 3.50, 8 Ba 3.80
3 Cl 0.1243 0.6243 0.5000 x4  1 Cl 3.11, 6 Ba 3.14-3.37

***

Least stable structure: *i*

***

*i*
BaBeCl4: relaxed, PBE.

abc: 6.0921 9.5604 6.1370
angles: 90.00 99.00 90.00
Closest atoms and distances in Å follow each position.
Space group P2_1/m (No. 11)
Unique sites:
1 Ba 0.1391 0.2500 0.1538 x2  8 Cl 3.18-3.25
2 Be 0.3659 0.7500 0.3445 x2  4 Cl 2.03-2.04
3 Cl 0.2137 0.5792 0.1877 x4  1 Be 2.04
4 Cl 0.3051 0.2500 0.6764 x2  1 Be 2.03
5 Cl 0.3349 0.7500 0.6683 x2  1 Be 2.03

***

*ii*
BaBeCl4: relaxed, PBE.

abc: 8.6615 8.6615 8.6615
angles: 90.00 90.00 90.00
Closest atoms and distances in Å follow each position.
Space group F-43m (No. 216)
Unique sites:
1 Ba 0.0000 0.0000 0.0000 x4  12 Cl 3.59, 4 Be 3.75
2 Be 0.2500 0.2500 0.7500 x4  12 Cl 3.59, 4 Ba 3.75
3 Cl 0.1244 0.1244 0.3756 x16  6 Cl 3.05-3.08

***

Least stable structure: *ii*

***

*i*
BaBeHgCl2: relaxed, PBE.

abc: 5.9367 5.9367 7.5833
angles: 90.00 90.00 90.00
Closest atoms and distances in Å follow each position.
Space group P4/mmm (No. 123)
Unique sites:
1 Ba 0.0000 0.0000 0.0000 x1  4 Cl 2.97
2 Be 0.0000 0.0000 0.5000 x1  2 Ba 3.79, 4 Hg 4.20
3 Hg 0.5000 0.5000 0.5000 x1  4 Be 4.20
4 Cl 0.0000 0.5000 0.0000 x2  2 Ba 2.97

***

*ii*
BaBeHgCl2: relaxed, PBE.

abc: 5.9245 5.9245 4.5217
angles: 90.00 90.00 90.00
Closest atoms and distances in Å follow each position.
Space group P4/mmm (No. 123)
Unique sites:
1 Ba 0.0000 0.0000 0.0000 x1  8 Cl 3.73
2 Be 0.5000 0.5000 0.0000 x1  2 Hg 2.26
3 Hg 0.5000 0.5000 0.5000 x1  2 Be 2.26
4 Cl 0.0000 0.5000 0.5000 x2  2 Hg 2.96

***

Least stable structure: *i*

***

*i*
BaBeP2Cl: relaxed, PBE.

abc: 6.5640 6.5640 5.9181
angles: 90.00 90.00 90.00
Closest atoms and distances in Å follow each position.
Space group P4/mmm (No. 123)
Unique sites:
1 Ba 0.0000 0.0000 0.0000 x1  2 Cl 2.96, 4 P 3.28
2 Be 0.5000 0.5000 0.5000 x1  8 P 4.42, 4 Cl 4.64
3 P 0.0000 0.5000 0.0000 x2  2 Ba 3.28
4 Cl 0.0000 0.0000 0.5000 x1  2 Ba 2.96

***

*ii*
BaBeP2Cl: relaxed, PBE.

abc: 4.3025 4.3025 6.1174
angles: 90.00 90.00 90.00
Closest atoms and distances in Å follow each position.
Space group P4/mmm (No. 123)
Unique sites:
1 Ba 0.0000 0.0000 0.0000 x1  4 Cl 3.04
2 Be 0.5000 0.5000 0.5000 x1  4 P 2.15
3 P 0.0000 0.5000 0.5000 x2  2 Be 2.15
4 Cl 0.5000 0.5000 0.0000 x1  4 Ba 3.04, 2 Be 3.06

***

Least stable structure: *i*

***

*i*
BaBeCr3: relaxed, PBE.

abc: 5.1038 5.1038 5.1038
angles: 90.00 90.00 90.00
Closest atoms and distances in Å follow each position.
Space group Pm-3m (No. 221)
Unique sites:
1 Ba 0.0000 0.0000 0.0000 x1  6 Cr 2.55
2 Be 0.5000 0.5000 0.5000 x1  12 Cr 3.61
3 Cr 0.0000 0.0000 0.5000 x3  2 Ba 2.55

***

*ii*
BaBeCr3: relaxed, PBE.

abc: 4.7134 4.7134 4.7134
angles: 90.00 90.00 90.00
Closest atoms and distances in Å follow each position.
Space group Pm-3m (No. 221)
Unique sites:
1 Ba 0.0000 0.0000 0.0000 x1  12 Cr 3.33
2 Be 0.5000 0.5000 0.5000 x1  6 Cr 2.36
3 Cr 0.0000 0.5000 0.5000 x3  2 Be 2.36

***

Least stable structure: *i*

***

*i*
BaBeCr: relaxed, PBE.

abc: 7.0121 7.0121 7.0121
angles: 90.00 90.00 90.00
Closest atoms and distances in Å follow each position.
Space group F-43m (No. 216)
Unique sites:
1 Ba 0.0000 0.0000 0.0000 x4  4 Cr 3.04
2 Be 0.0000 0.0000 0.5000 x4  4 Cr 3.04
3 Cr 0.2500 0.2500 0.7500 x4  4 Ba 3.04, 4 Be 3.04

***

*ii*
BaBeCr: relaxed, PBE.

abc: 7.4803 7.4803 7.4803
angles: 90.00 90.00 90.00
Closest atoms and distances in Å follow each position.
Space group F-43m (No. 216)
Unique sites:
1 Ba 0.0000 0.0000 0.0000 x4  4 Cr 3.24, 4 Be 3.24
2 Be 0.2500 0.2500 0.2500 x4  4 Ba 3.24
3 Cr 0.2500 0.2500 0.7500 x4  4 Ba 3.24

***

*iii*
BaBeCr: relaxed, PBE.

abc: 4.2417 4.2417 5.0507
angles: 90.00 90.00 120.00
Closest atoms and distances in Å follow each position.
Space group P-6m2 (No. 187)
Unique sites:
1 Ba 0.0000 0.0000 0.0000 x1  6 Cr 3.52, 6 Be 3.52
2 Be 0.6667 0.3333 0.5000 x1  3 Cr 2.45
3 Cr 0.3333 0.6667 0.5000 x1  3 Be 2.45

***

Least stable structure: *ii*

***

*i*
BaBeCr: relaxed, PBE.

abc: 6.9742 6.9742 6.9742
angles: 90.00 90.00 90.00
Closest atoms and distances in Å follow each position.
Space group F-43m (No. 216)
Unique sites:
1 Ba 0.0000 0.0000 0.0000 x4  4 Be 3.02
2 Be 0.2500 0.2500 0.2500 x4  4 Ba 3.02, 4 Cr 3.02
3 Cr 0.0000 0.0000 0.5000 x4  4 Be 3.02

***

*ii*
BaBeCr: relaxed, PBE.

abc: 3.3679 3.3679 11.6190
angles: 90.00 90.00 90.00
Closest atoms and distances in Å follow each position.
Space group I4mm (No. 107)
Unique sites:
1 Ba 0.0000 0.0000 0.0000 x2  1 Cr 3.09, 5 Be 3.31-3.45, 4 Ba 3.37
2 Be 0.0000 0.0000 0.7153 x2  4 Cr 2.45
3 Cr 0.0000 0.0000 0.2659 x2  4 Be 2.45

***

Least stable structure: *i*